1.
A relaxed structure of NaCu2BiCl8, computed with PBE.

```
data_NaCu2BiCl8
_chemical_formula_sum 'Na1 Cu2 Bi1 Cl8'
_cell_length_a 7.499
_cell_length_b 7.499
_cell_length_c 7.499
_cell_angle_alpha 106.90
_cell_angle_beta 106.90
_cell_angle_gamma 114.75
_space_group_name_H-M_alt 'P 1'
_space_group_IT_number 1
loop_
_space_group_symop_operation_xyz
'x,y,z'
loop_
_atom_site_label
_atom_site_type_symbol
_atom_site_fract_x
_atom_site_fract_y
_atom_site_fract_z
Bi1 Bi 0.000 0.000 0.000
Cu1 Cu 0.500 0.500 0.000
Cu2 Cu 0.750 0.250 0.500
Cl1 Cl 0.875 0.697 0.177
Cl2 Cl 0.303 0.480 0.177
Cl3 Cl 0.520 0.697 0.823
Cl4 Cl 0.303 0.125 0.823
Cl5 Cl 0.373 0.062 0.311
Cl6 Cl 0.938 0.627 0.689
Cl7 Cl 0.938 0.249 0.311
Cl8 Cl 0.751 0.062 0.689
Na1 Na 0.250 0.750 0.500
```

Results
As for the space group: I-4m2. As for the energy: -0.23049 Ry/atom. The calculation puts the volume at 322.52 Å³/cell.


2.
A relaxed structure of Na2CuBiCl6, computed with PBE.

```
data_Na2CuBiCl6
_chemical_formula_sum 'Na4 Cu2 Bi2 Cl12'
_cell_length_a 6.713
_cell_length_b 7.063
_cell_length_c 10.475
_cell_angle_alpha 90.00
_cell_angle_beta 93.37
_cell_angle_gamma 90.00
_space_group_name_H-M_alt 'P 1'
_space_group_IT_number 1
loop_
_space_group_symop_operation_xyz
'x,y,z'
loop_
_atom_site_label
_atom_site_type_symbol
_atom_site_fract_x
_atom_site_fract_y
_atom_site_fract_z
Na1 Na 0.460 0.417 0.263
Na2 Na 0.540 0.583 0.737
Na3 Na 0.960 0.083 0.763
Na4 Na 0.040 0.917 0.237
Cl1 Cl 0.792 0.817 0.574
Cl2 Cl 0.824 0.790 0.933
Cl3 Cl 0.176 0.210 0.067
Cl4 Cl 0.854 0.554 0.254
Cl5 Cl 0.676 0.290 0.567
Cl6 Cl 0.354 0.946 0.754
Cl7 Cl 0.146 0.446 0.746
Cl8 Cl 0.708 0.317 0.926
Cl9 Cl 0.208 0.183 0.426
Cl10 Cl 0.292 0.683 0.074
Cl11 Cl 0.646 0.054 0.246
Cl12 Cl 0.324 0.710 0.433
Bi1 Bi 0.000 0.500 0.500
Bi2 Bi 0.500 0.000 0.000
Cu1 Cu 0.500 0.000 0.500
Cu2 Cu 0.000 0.500 0.000
```

Results
As for the space group: P2_1/c. For the offset from the most stable computed form, the calculation gives 0 meV per atom. As for the energy: -0.24515 Ry/atom. The calculation puts the volume at 495.79 Å³/cell.


3.
A relaxed structure of Na2CuBiCl6, computed with PBE.

```
data_Na2CuBiCl6
_chemical_formula_sum 'Na2 Cu1 Bi1 Cl6'
_cell_length_a 7.334
_cell_length_b 7.334
_cell_length_c 7.334
_cell_angle_alpha 60.00
_cell_angle_beta 60.00
_cell_angle_gamma 60.00
_space_group_name_H-M_alt 'P 1'
_space_group_IT_number 1
loop_
_space_group_symop_operation_xyz
'x,y,z'
loop_
_atom_site_label
_atom_site_type_symbol
_atom_site_fract_x
_atom_site_fract_y
_atom_site_fract_z
Cl1 Cl 0.739 0.739 0.261
Cl2 Cl 0.261 0.739 0.739
Cl3 Cl 0.261 0.261 0.739
Cl4 Cl 0.739 0.261 0.739
Cl5 Cl 0.261 0.739 0.261
Cl6 Cl 0.739 0.261 0.261
Na1 Na 0.250 0.250 0.250
Na2 Na 0.750 0.750 0.750
Bi1 Bi 0.000 0.000 0.000
Cu1 Cu 0.500 0.500 0.500
```

Results
As for the space group: Fm-3m. For the offset from the most stable computed form, the calculation gives 117 meV per atom. As for the energy: -0.23657 Ry/atom. The calculation puts the volume at 278.95 Å³/cell.


4.
A relaxed structure of CuBiClO2, computed with PBE.

```
data_CuBiClO2
_chemical_formula_sum 'Cu2 Bi2 Cl2 O4'
_cell_length_a 4.000
_cell_length_b 7.131
_cell_length_c 7.523
_cell_angle_alpha 110.94
_cell_angle_beta 90.00
_cell_angle_gamma 90.00
_space_group_name_H-M_alt 'P 1'
_space_group_IT_number 1
loop_
_space_group_symop_operation_xyz
'x,y,z'
loop_
_atom_site_label
_atom_site_type_symbol
_atom_site_fract_x
_atom_site_fract_y
_atom_site_fract_z
Bi1 Bi 0.250 0.701 0.953
Bi2 Bi 0.750 0.299 0.047
O1 O 0.750 0.518 0.879
O2 O 0.750 0.497 0.371
O3 O 0.250 0.482 0.121
O4 O 0.250 0.503 0.629
Cu1 Cu 0.750 0.467 0.614
Cu2 Cu 0.250 0.533 0.386
Cl1 Cl 0.750 0.973 0.214
Cl2 Cl 0.250 0.027 0.786
```

Results
As for the space group: P2_1/m. As for the energy: -0.35709 Ry/atom. The calculation puts the volume at 200.45 Å³/cell.


5.
A relaxed structure of Rb4Cu3BiCl12, computed with PBE.

```
data_Rb4Cu3BiCl12
_chemical_formula_sum 'Rb4 Cu3 Bi1 Cl12'
_cell_length_a 8.813
_cell_length_b 8.813
_cell_length_c 8.813
_cell_angle_alpha 109.47
_cell_angle_beta 109.47
_cell_angle_gamma 109.47
_space_group_name_H-M_alt 'P 1'
_space_group_IT_number 1
loop_
_space_group_symop_operation_xyz
'x,y,z'
loop_
_atom_site_label
_atom_site_type_symbol
_atom_site_fract_x
_atom_site_fract_y
_atom_site_fract_z
Cl1 Cl 0.500 0.750 0.250
Cl2 Cl 0.000 0.737 0.737
Cl3 Cl 0.750 0.500 0.250
Cl4 Cl 0.737 0.737 0.000
Cl5 Cl 0.263 0.263 0.000
Cl6 Cl 0.263 0.000 0.263
Cl7 Cl 0.737 0.000 0.737
Cl8 Cl 0.750 0.250 0.500
Cl9 Cl 0.500 0.250 0.750
Cl10 Cl 0.250 0.750 0.500
Cl11 Cl 0.000 0.263 0.263
Cl12 Cl 0.250 0.500 0.750
Rb1 Rb 0.000 0.500 0.000
Rb2 Rb 0.500 0.500 0.500
Rb3 Rb 0.500 0.000 0.000
Rb4 Rb 0.000 0.000 0.500
Cu1 Cu 0.000 0.500 0.500
Cu2 Cu 0.500 0.500 0.000
Cu3 Cu 0.500 0.000 0.500
Bi1 Bi 0.000 0.000 0.000
```

Results
As for the space group: Im-3m. As for the energy: -0.24099 Ry/atom. The calculation puts the volume at 526.94 Å³/cell.


6.
A relaxed structure of Rb2Cu2BiCl6, computed with PBE.

```
data_Rb2Cu2BiCl6
_chemical_formula_sum 'Rb2 Cu2 Bi1 Cl6'
_cell_length_a 7.288
_cell_length_b 7.827
_cell_length_c 7.259
_cell_angle_alpha 109.80
_cell_angle_beta 90.00
_cell_angle_gamma 117.75
_space_group_name_H-M_alt 'P 1'
_space_group_IT_number 1
loop_
_space_group_symop_operation_xyz
'x,y,z'
loop_
_atom_site_label
_atom_site_type_symbol
_atom_site_fract_x
_atom_site_fract_y
_atom_site_fract_z
Cl1 Cl 0.692 0.873 0.198
Cl2 Cl 0.180 0.873 0.198
Cl3 Cl 0.308 0.127 0.802
Cl4 Cl 0.787 0.575 0.697
Cl5 Cl 0.213 0.425 0.303
Cl6 Cl 0.820 0.127 0.802
Rb1 Rb 0.725 0.449 0.205
Rb2 Rb 0.275 0.551 0.795
Cu1 Cu 0.958 0.916 0.794
Cu2 Cu 0.042 0.084 0.206
Bi1 Bi 0.500 0.000 0.500
```

Results
As for the space group: C2/m. As for the energy: -0.24461 Ry/atom. The calculation puts the volume at 338.60 Å³/cell.